Entry from Alexandria: a geometry-optimized ZrCr2Au structure (PBE).

Calculated values
E: -59.8 eV per cell
Calculated formation energy: 0.2906 eV/atom
Energy above the lowest structure with this stoichiometry: 315 meV per atom
D(E_F): 5.8 states/eV/f.u.

Cell lengths 9.684, 3.223, 4.769 Å; angles 90.00, 113.74, 90.00 degrees
Fractional coordinates of all 8 atoms:
Zr  0.000  0.000  0.000
Zr  0.500  0.500  0.000
Cr  0.249  0.000  0.663
Cr  0.251  0.500  0.337
Cr  0.749  0.500  0.663
Cr  0.751  0.000  0.337
Au  0.000  0.500  0.500
Au  0.500  0.000  0.500